DFT (PBE) results for a geometry-optimized RbSbTeN2 structure.

Cell: 4.602 4.602 5.870 Å, 90.00 90.00 90.00°
Positions (direct):
Rb (0.000, 0.000, 0.000)
Sb (0.500, 0.500, 0.500)
Te (0.500, 0.500, 0.000)
N (0.000, 0.500, 0.500)
N (0.500, 0.000, 0.500)

Calculated values
* total magnetization: 0.575 μB/atom
* energy above the lowest structure with this stoichiometry: 0.0 meV/atom
* density of states at the Fermi level: 3.03 states/eV/cell
* volume: 124.3 Å³ per cell



DFT (PBE) results for a geometry-optimized AcCeO2 structure.

Cell: 3.214 3.214 6.412 Å, 90.00 90.00 90.00°
Positions (direct):
Ac (0.000, 0.000, 0.000)
Ce (0.000, 0.000, 0.500)
O (0.500, 0.500, 0.252)
O (0.500, 0.500, 0.748)

Calculated values
* total magnetization: 0.369 μB/atom
* energy above the lowest structure with this stoichiometry: 706.0 meV/atom
* density of states at the Fermi level: 5.67 states/eV/cell
* volume: 66.3 Å³ per cell



DFT (PBE) results for a geometry-optimized NaAuF5 structure.

Cell: 5.557 5.557 8.531 Å, 110.38 110.38 69.87°
Positions (direct):
Na (0.014, 0.986, 0.750)
Na (0.986, 0.014, 0.250)
Au (0.500, 0.500, 0.000)
Au (0.500, 0.500, 0.500)
F (0.152, 0.755, 0.999)
F (0.201, 0.337, 0.382)
F (0.245, 0.848, 0.501)
F (0.337, 0.201, 0.882)
F (0.461, 0.539, 0.750)
F (0.539, 0.461, 0.250)
F (0.663, 0.799, 0.118)
F (0.755, 0.152, 0.499)
F (0.799, 0.663, 0.618)
F (0.848, 0.245, 0.001)

Calculated values
* total magnetization: 0.000 μB/atom
* energy above the lowest structure with this stoichiometry: 6.2 meV/atom
* volume: 223.9 Å³ per cell



DFT (PBE) results for a geometry-optimized Zr3ZnGa2 structure.

Cell: 11.060 4.148 10.109 Å, 90.00 90.00 90.00°
Positions (direct):
Zr (0.036, 0.250, 0.122)
Zr (0.141, 0.750, 0.593)
Zr (0.203, 0.250, 0.825)
Zr (0.297, 0.750, 0.325)
Zr (0.359, 0.250, 0.093)
Zr (0.464, 0.750, 0.622)
Zr (0.536, 0.250, 0.378)
Zr (0.641, 0.750, 0.907)
Zr (0.703, 0.250, 0.675)
Zr (0.797, 0.750, 0.175)
Zr (0.859, 0.250, 0.407)
Zr (0.964, 0.750, 0.878)
Zn (0.127, 0.250, 0.391)
Zn (0.373, 0.750, 0.891)
Zn (0.627, 0.250, 0.109)
Zn (0.873, 0.750, 0.609)
Ga (0.016, 0.750, 0.323)
Ga (0.185, 0.750, 0.035)
Ga (0.315, 0.250, 0.535)
Ga (0.484, 0.250, 0.823)
Ga (0.516, 0.750, 0.177)
Ga (0.685, 0.750, 0.465)
Ga (0.815, 0.250, 0.965)
Ga (0.984, 0.250, 0.677)

Calculated values
* energy relative to the elements: -0.464 eV per atom
* total magnetization: 0.000 μB/atom
* density of states at the Fermi level: 16.28 states/eV/cell
* volume: 463.8 Å³ per cell



DFT (PBE) results for a geometry-optimized Nd8Ge5Au structure.

Cell: 7.952 7.952 7.952 Å, 109.69 109.69 109.03°
Positions (direct):
Nd (0.128, 0.243, 0.754)
Nd (0.134, 0.751, 0.757)
Nd (0.249, 0.006, 0.384)
Nd (0.489, 0.374, 0.246)
Nd (0.623, 0.866, 0.616)
Nd (0.626, 0.872, 0.115)
Nd (0.757, 0.511, 0.885)
Nd (0.994, 0.377, 0.243)
Ge (0.000, 0.000, 0.000)
Ge (0.252, 0.628, 0.125)
Ge (0.372, 0.498, 0.624)
Ge (0.502, 0.126, 0.875)
Ge (0.874, 0.748, 0.376)
Au (0.750, 0.250, 0.500)

Calculated values
* energy relative to the elements: -0.767 eV per atom
* total magnetization: 0.000 μB/atom
* density of states at the Fermi level: 9.55 states/eV/cell
* volume: 387.1 Å³ per cell



DFT (PBE) results for a geometry-optimized NaGeAu2 structure.

Cell: 3.354 3.354 7.171 Å, 90.00 90.00 90.00°
Positions (direct):
Na (0.000, 0.000, 0.000)
Ge (0.000, 0.000, 0.500)
Au (0.500, 0.500, 0.283)
Au (0.500, 0.500, 0.717)

Calculated values
* energy relative to the elements: -0.088 eV per atom
* total magnetization: 0.000 μB/atom
* density of states at the Fermi level: 1.29 states/eV/cell
* volume: 80.7 Å³ per cell



DFT (PBE) results for a geometry-optimized BaV2CN structure.

Cell: 3.885 3.885 6.678 Å, 90.00 90.00 90.00°
Positions (direct):
Ba (0.000, 0.000, 0.000)
V (0.000, 0.500, 0.500)
V (0.500, 0.000, 0.500)
C (0.500, 0.500, 0.500)
N (0.500, 0.500, 0.000)

Calculated values
* total magnetization: 0.000 μB/atom
* energy above the lowest structure with this stoichiometry: 0.0 meV/atom
* density of states at the Fermi level: 9.13 states/eV/cell
* volume: 100.8 Å³ per cell



DFT (PBE) results for a geometry-optimized RbCu2PbCl structure.

Cell: 5.073 5.073 6.111 Å, 90.00 90.00 90.00°
Positions (direct):
Rb (0.000, 0.000, 0.000)
Cu (0.000, 0.500, 0.500)
Cu (0.500, 0.000, 0.500)
Pb (0.500, 0.500, 0.500)
Cl (0.500, 0.500, 0.000)

Calculated values
* total magnetization: 0.000 μB/atom
* density of states at the Fermi level: 0.66 states/eV/cell
* E_tot: -15.4 eV per cell
* volume: 157.3 Å³ per cell